[1]
VASP calculation (PBE) on an optimized crystal structure of TlCuPdCl5.

Results
ΔE_f (raw)	-58	kJ/mol of atoms
E_tot	-3.217	eV/atom

The structure in CIF format:
```
data_TlCuPdCl5
_chemical_formula_sum 'Tl4 Cu4 Pd4 Cl20'
_symmetry_space_group_name_H-M 'C 1 2/c 1'
_symmetry_Int_Tables_number 15
_symmetry_space_group_name_Hall '-C 2yc'
_cell_length_a 8.608
_cell_length_b 11.169
_cell_length_c 9.700
_cell_angle_alpha 90.00
_cell_angle_beta 114.63
_cell_angle_gamma 90.00
loop_
_atom_site_label
_atom_site_type_symbol
_atom_site_fract_x
_atom_site_fract_y
_atom_site_fract_z
_atom_site_occupancy
Tl1 Tl 0.000 0.168 0.250 1
Cu1 Cu 0.000 0.199 0.750 1
Pd1 Pd 0.000 0.500 0.000 1
Cl1 Cl 0.000 0.449 0.250 1
Cl2 Cl 0.089 0.298 0.588 1
Cl3 Cl 0.202 0.071 0.915 1
```

[2]
VASP calculation (PBE) on an optimized crystal structure of TlCuPdCl6.

Results
ΔE_f (raw)	-52	kJ/mol of atoms
E_tot	-3.067	eV/atom

The structure in CIF format:
```
data_TlCuPdCl6
_chemical_formula_sum 'Tl1 Cu1 Pd1 Cl6'
_symmetry_space_group_name_H-M 'P 3 1 2'
_symmetry_Int_Tables_number 149
_symmetry_space_group_name_Hall 'P 3 2'
_cell_length_a 6.4272
_cell_length_b 6.4272
_cell_length_c 6.8962
_cell_angle_alpha 90.00
_cell_angle_beta 90.00
_cell_angle_gamma 120.00
loop_
_atom_site_label
_atom_site_type_symbol
_atom_site_fract_x
_atom_site_fract_y
_atom_site_fract_z
_atom_site_occupancy
Tl1 Tl 0.0000 0.0000 0.0000 1
Cu1 Cu 0.3333 0.6667 0.5000 1
Pd1 Pd 0.6667 0.3333 0.5000 1
Cl1 Cl 0.3764 0.0090 0.6964 1
```

[3]
VASP calculation (PBE) on an optimized crystal structure of Tl2CuPdCl6.

Results
ΔE_f (raw)	-67	kJ/mol of atoms
E_tot	-3.205	eV/atom

The structure in CIF format:
```
data_Tl2CuPdCl6
_chemical_formula_sum 'Tl8 Cu4 Pd4 Cl24'
_symmetry_space_group_name_H-M 'F m m m'
_symmetry_Int_Tables_number 69
_symmetry_space_group_name_Hall '-F 2 2'
_cell_length_a 9.719
_cell_length_b 9.790
_cell_length_c 10.286
_cell_angle_alpha 90.00
_cell_angle_beta 90.00
_cell_angle_gamma 90.00
loop_
_atom_site_label
_atom_site_type_symbol
_atom_site_fract_x
_atom_site_fract_y
_atom_site_fract_z
_atom_site_occupancy
Tl1 Tl 0.250 0.250 0.250 1
Cu1 Cu 0.000 0.000 0.000 1
Pd1 Pd 0.000 0.000 0.500 1
Cl1 Cl 0.000 0.000 0.268 1
Cl2 Cl 0.000 0.236 0.000 1
Cl3 Cl 0.245 0.000 0.000 1
```

[4]
VASP calculation (PBE) on an optimized crystal structure of TlCu2PdCl8.

Results
ΔE_f (raw)	-51	kJ/mol of atoms
E_tot	-3.070	eV/atom

The structure in CIF format:
```
data_TlCu2PdCl8
_chemical_formula_sum 'Tl1 Cu2 Pd1 Cl8'
_symmetry_space_group_name_H-M 'P -1'
_symmetry_Int_Tables_number 2
_symmetry_space_group_name_Hall '-P 1'
_cell_length_a 6.101
_cell_length_b 6.985
_cell_length_c 7.680
_cell_angle_alpha 98.73
_cell_angle_beta 95.59
_cell_angle_gamma 93.66
loop_
_atom_site_label
_atom_site_type_symbol
_atom_site_fract_x
_atom_site_fract_y
_atom_site_fract_z
_atom_site_occupancy
Tl1 Tl 0.000 0.000 0.000 1
Cu1 Cu 0.492 0.390 0.311 1
Pd1 Pd 0.000 0.000 0.500 1
Cl1 Cl 0.195 0.855 0.275 1
Cl2 Cl 0.210 0.848 0.710 1
Cl3 Cl 0.301 0.348 0.546 1
Cl4 Cl 0.309 0.296 0.046 1
```

[5]
VASP calculation (PBE) on an optimized crystal structure of Tl3Cu2PdCl8.

Results
ΔE_f (raw)	-67	kJ/mol of atoms
E_tot	-3.214	eV/atom

The structure in CIF format:
```
data_Tl3Cu2PdCl8
_chemical_formula_sum 'Tl3 Cu2 Pd1 Cl8'
_symmetry_space_group_name_H-M 'P -3 m 1'
_symmetry_Int_Tables_number 164
_symmetry_space_group_name_Hall '-P 3 2"'
_cell_length_a 7.0042
_cell_length_b 7.0042
_cell_length_c 9.0273
_cell_angle_alpha 90.00
_cell_angle_beta 90.00
_cell_angle_gamma 120.00
loop_
_atom_site_label
_atom_site_type_symbol
_atom_site_fract_x
_atom_site_fract_y
_atom_site_fract_z
_atom_site_occupancy
Tl1 Tl 0.0000 0.0000 0.0000 1
Tl2 Tl 0.3333 0.6667 0.6337 1
Cu1 Cu 0.3333 0.6667 0.2107 1
Pd1 Pd 0.0000 0.0000 0.5000 1
Cl1 Cl 0.1642 0.3283 0.3319 1
Cl2 Cl 0.3333 0.6667 0.9695 1
```

[6]
VASP calculation (PBE) on an optimized crystal structure of VCuPdCl2.

Results
ΔE_f (raw)	25	kJ/mol of atoms
E_tot	-4.161	eV/atom

The structure in CIF format:
```
data_VCuPdCl2
_chemical_formula_sum 'V1 Cu1 Pd1 Cl2'
_symmetry_space_group_name_H-M 'P 4/m m m'
_symmetry_Int_Tables_number 123
_symmetry_space_group_name_Hall '-P 4 2'
_cell_length_a 4.474
_cell_length_b 4.474
_cell_length_c 5.066
_cell_angle_alpha 90.00
_cell_angle_beta 90.00
_cell_angle_gamma 90.00
loop_
_atom_site_label
_atom_site_type_symbol
_atom_site_fract_x
_atom_site_fract_y
_atom_site_fract_z
_atom_site_occupancy
V1 V 0.000 0.000 0.000 1
Cu1 Cu 0.500 0.500 0.500 1
Pd1 Pd 0.000 0.000 0.500 1
Cl1 Cl 0.000 0.500 0.000 1
```

[7]
VASP calculation (PBE) on an optimized crystal structure of PmCuCl4.

Results
ΔE_f (raw)	-156	kJ/mol of atoms
excess energy over the best structure of this formula in the dataset	0.6	kJ/mol of atoms
E_tot	-4.319	eV/atom

The structure in CIF format:
```
data_PmCuCl4
_chemical_formula_sum 'Pm4 Cu4 Cl16'
_symmetry_space_group_name_H-M 'C 1 2/c 1'
_symmetry_Int_Tables_number 15
_symmetry_space_group_name_Hall '-C 2yc'
_cell_length_a 13.335
_cell_length_b 7.471
_cell_length_c 7.551
_cell_angle_alpha 90.00
_cell_angle_beta 90.26
_cell_angle_gamma 90.00
loop_
_atom_site_label
_atom_site_type_symbol
_atom_site_fract_x
_atom_site_fract_y
_atom_site_fract_z
_atom_site_occupancy
Pm1 Pm 0.250 0.250 0.000 1
Cu1 Cu 0.000 0.242 0.750 1
Cl1 Cl 0.045 0.248 0.019 1
Cl2 Cl 0.249 0.435 0.313 1
```

[8]
VASP calculation (PBE) on an optimized crystal structure of PmCuCl.

Results
ΔE_f (raw)	-107	kJ/mol of atoms
excess energy over the best structure of this formula in the dataset	0.3	kJ/mol of atoms
E_tot	-4.670	eV/atom

The structure in CIF format:
```
data_PmCuCl
_chemical_formula_sum 'Pm6 Cu6 Cl6'
_symmetry_space_group_name_H-M 'R -3 m'
_symmetry_Int_Tables_number 166
_symmetry_space_group_name_Hall '-R 3 2"'
_cell_length_a 4.0955
_cell_length_b 4.0955
_cell_length_c 32.1544
_cell_angle_alpha 90.00
_cell_angle_beta 90.00
_cell_angle_gamma 120.00
loop_
_atom_site_label
_atom_site_type_symbol
_atom_site_fract_x
_atom_site_fract_y
_atom_site_fract_z
_atom_site_occupancy
Pm1 Pm 0.0000 0.0000 0.0611 1
Cu1 Cu 0.0000 0.0000 0.3343 1
Cl1 Cl 0.0000 0.0000 0.2187 1
```

[9]
VASP calculation (PBE) on an optimized crystal structure of PmCu2Cl6.

Results
ΔE_f (raw)	-121	kJ/mol of atoms
E_tot	-3.923	eV/atom

The structure in CIF format:
```
data_PmCu2Cl6
_chemical_formula_sum 'Pm4 Cu8 Cl24'
_symmetry_space_group_name_H-M 'C 1 2/c 1'
_symmetry_Int_Tables_number 15
_symmetry_space_group_name_Hall '-C 2yc'
_cell_length_a 13.676
_cell_length_b 12.213
_cell_length_c 6.633
_cell_angle_alpha 90.00
_cell_angle_beta 104.11
_cell_angle_gamma 90.00
loop_
_atom_site_label
_atom_site_type_symbol
_atom_site_fract_x
_atom_site_fract_y
_atom_site_fract_z
_atom_site_occupancy
Pm1 Pm 0.000 0.105 0.250 1
Cu1 Cu 0.129 0.423 0.213 1
Cl1 Cl 0.114 0.063 0.638 1
Cl2 Cl 0.128 0.421 0.552 1
Cl3 Cl 0.129 0.248 0.133 1
```

[10]
VASP calculation (PBE) on an optimized crystal structure of Pm3CuCl3.

Results
ΔE_f (raw)	-130	kJ/mol of atoms
E_tot	-4.756	eV/atom

The structure in CIF format:
```
data_Pm3CuCl3
_chemical_formula_sum 'Pm24 Cu8 Cl24'
_symmetry_space_group_name_H-M 'I 41 3 2'
_symmetry_Int_Tables_number 214
_symmetry_space_group_name_Hall 'I 4bd 2c 3'
_cell_length_a 11.528
_cell_length_b 11.528
_cell_length_c 11.528
_cell_angle_alpha 90.00
_cell_angle_beta 90.00
_cell_angle_gamma 90.00
loop_
_atom_site_label
_atom_site_type_symbol
_atom_site_fract_x
_atom_site_fract_y
_atom_site_fract_z
_atom_site_occupancy
Pm1 Pm 0.119 0.369 0.125 1
Cu1 Cu 0.125 0.125 0.125 1
Cl1 Cl 0.120 0.130 0.625 1
```

[11]
VASP calculation (PBE) on an optimized crystal structure of Pm3Cu5Cl12.

Results
ΔE_f (raw)	-112	kJ/mol of atoms
E_tot	-4.009	eV/atom

The structure in CIF format:
```
data_Pm3Cu5Cl12
_chemical_formula_sum 'Pm24 Cu40 Cl96'
_symmetry_space_group_name_H-M 'I a -3 d'
_symmetry_Int_Tables_number 230
_symmetry_space_group_name_Hall '-I 4bd 2c 3'
_cell_length_a 15.264
_cell_length_b 15.264
_cell_length_c 15.264
_cell_angle_alpha 90.00
_cell_angle_beta 90.00
_cell_angle_gamma 90.00
loop_
_atom_site_label
_atom_site_type_symbol
_atom_site_fract_x
_atom_site_fract_y
_atom_site_fract_z
_atom_site_occupancy
Pm1 Pm 0.000 0.250 0.125 1
Cu1 Cu 0.000 0.000 0.000 1
Cu2 Cu 0.000 0.250 0.375 1
Cl1 Cl 0.029 0.062 0.652 1
```

[12]
VASP calculation (PBE) on an optimized crystal structure of Pm2CuCl2.

Results
ΔE_f (raw)	-118	kJ/mol of atoms
E_tot	-4.677	eV/atom

The structure in CIF format:
```
data_Pm2CuCl2
_chemical_formula_sum 'Pm6 Cu3 Cl6'
_symmetry_space_group_name_H-M 'R -3 m'
_symmetry_Int_Tables_number 166
_symmetry_space_group_name_Hall '-R 3 2"'
_cell_length_a 4.0189
_cell_length_b 4.0189
_cell_length_c 31.5351
_cell_angle_alpha 90.00
_cell_angle_beta 90.00
_cell_angle_gamma 120.00
loop_
_atom_site_label
_atom_site_type_symbol
_atom_site_fract_x
_atom_site_fract_y
_atom_site_fract_z
_atom_site_occupancy
Pm1 Pm 0.0000 0.0000 0.1106 1
Cu1 Cu 0.0000 0.0000 0.5000 1
Cl1 Cl 0.0000 0.0000 0.2768 1
```